Record 1
The following is a DFT calculation (PBEsol) of crystalline WN at its relaxed geometry.

Values from the calculation:
SG	P-6m2, No. 187
mass density	16.264	g cm⁻³
uncorrected formation energy	-0.295	eV/atom
volume	20.20	Å³ per cell

Lattice parameters (Å, degrees): 2.845 2.845 2.882 90.00 90.00 120.00
Fractional coordinates of all 2 atoms:
W: 0.000 0.000 0.000
N: 0.333 0.667 0.500

Record 2
The following is a DFT calculation (PBEsol) of crystalline La2Cd17 at its relaxed geometry.

Values from the calculation:
SG	P6_3/mmc, No. 194
calculated formation energy	-0.21	eV/atom
mass density	8.711	g cm⁻³
volume	834.46	Å³ per cell

Lattice parameters (Å, degrees): 9.929 9.929 9.774 90.00 90.00 120.00
Fractional coordinates of all 38 atoms:
La: 0.000 0.000 0.250
La: 0.000 0.000 0.750
La: 0.333 0.667 0.250
La: 0.667 0.333 0.750
Cd: 0.000 0.500 0.000
Cd: 0.000 0.500 0.500
Cd: 0.038 0.365 0.750
Cd: 0.038 0.673 0.750
Cd: 0.161 0.322 0.027
Cd: 0.161 0.322 0.473
Cd: 0.161 0.839 0.027
Cd: 0.161 0.839 0.473
Cd: 0.322 0.161 0.527
Cd: 0.322 0.161 0.973
Cd: 0.327 0.365 0.750
Cd: 0.327 0.962 0.750
Cd: 0.333 0.667 0.599
Cd: 0.333 0.667 0.901
Cd: 0.365 0.038 0.250
Cd: 0.365 0.327 0.250
Cd: 0.500 0.000 0.000
Cd: 0.500 0.000 0.500
Cd: 0.500 0.500 0.000
Cd: 0.500 0.500 0.500
Cd: 0.635 0.673 0.750
Cd: 0.635 0.962 0.750
Cd: 0.667 0.333 0.099
Cd: 0.667 0.333 0.401
Cd: 0.673 0.038 0.250
Cd: 0.673 0.635 0.250
Cd: 0.678 0.839 0.027
Cd: 0.678 0.839 0.473
Cd: 0.839 0.161 0.527
Cd: 0.839 0.161 0.973
Cd: 0.839 0.678 0.527
Cd: 0.839 0.678 0.973
Cd: 0.962 0.327 0.250
Cd: 0.962 0.635 0.250

Record 3
The following is a DFT calculation (PBEsol) of crystalline Sr4CoP at its relaxed geometry.

Values from the calculation:
SG	F-43m, No. 216
calculated formation energy	0.97	eV/atom
mass density	3.853	g cm⁻³
volume	189.81	Å³ per cell

Lattice parameters (Å, degrees): 6.451 6.451 6.451 60.00 60.00 60.00
Fractional coordinates of all 6 atoms:
Sr: 0.125 0.125 0.125
Sr: 0.125 0.125 0.626
Sr: 0.125 0.626 0.125
Sr: 0.626 0.125 0.125
Co: 0.500 0.500 0.500
P: 0.750 0.750 0.750

Record 4
The following is a DFT calculation (PBEsol) of crystalline Li2PPt at its relaxed geometry.

Values from the calculation:
SG	Pmmm, No. 47
calculated formation energy	-0.58	eV/atom
mass density	7.751	g cm⁻³
volume	51.40	Å³ per cell

Lattice parameters (Å, degrees): 2.726 3.884 4.855 90.00 90.00 90.00
Fractional coordinates of all 4 atoms:
Li: 0.000 0.000 0.244
Li: 0.000 0.000 0.756
P: 0.500 0.500 0.000
Pt: 0.500 0.500 0.500